[1]
First-principles (PBE) data for a relaxed YIrRh2 crystal, as listed in the Alexandria database.

The theoretical density comes out at 11.72 g cm⁻³. The relative energy among the computed polymorphs comes out at 0.397 eV/atom. The energy relative to the elements comes out at -0.14 eV/atom. The crystal system is cubic. Its total energy is -0.5621 Ry/atom.

It has space group F-43m (No. 216), with a = 6.511 Å, b = 6.511 Å, c = 6.511 Å, α = 90.00°, β = 90.00° and γ = 90.00°. The asymmetric unit holds Y at (0.000, 0.000, 0.000), Ir at (0.250, 0.250, 0.750), Rh at (0.000, 0.000, 0.500) and Rh at (0.250, 0.250, 0.250).

[2]
First-principles (PBE) data for a relaxed Y4IrRh3 crystal, as listed in the Alexandria database.

The theoretical density comes out at 8.76 g cm⁻³. The energy relative to the elements comes out at -0.84 eV/atom. The crystal system is tetragonal. Its total energy is -0.5831 Ry/atom.

It has space group P4/mmm (No. 123), with a = 4.798 Å, b = 4.798 Å, c = 7.052 Å, α = 90.00°, β = 90.00° and γ = 90.00°. The asymmetric unit holds Y at (0.000, 0.500, 0.249), Ir at (0.000, 0.000, 0.000), Rh at (0.000, 0.000, 0.500), Rh at (0.500, 0.500, 0.000) and Rh at (0.500, 0.500, 0.500).

[3]
First-principles (PBE) data for a relaxed Y3IrRh8 crystal, as listed in the Alexandria database.

The theoretical density comes out at 10.16 g cm⁻³. The energy relative to the elements comes out at -0.46 eV/atom. The crystal system is trigonal. Its total energy is -0.5669 Ry/atom.

It has space group R3m (No. 160, hexagonal axes), with a = 5.2832 Å, b = 5.2832 Å, c = 26.0096 Å, α = 90.00°, β = 90.00° and γ = 120.00°. The asymmetric unit holds Y at (0.0000, 0.0000, 0.0000), Y at (0.0000, 0.0000, 0.1312), Y at (0.0000, 0.0000, 0.5198), Ir at (0.0000, 0.0000, 0.6479), Rh at (0.0000, 0.0000, 0.3172), Rh at (0.0000, 0.0000, 0.8185), Rh at (0.0001, 0.5001, 0.5696) and Rh at (0.0017, 0.5009, 0.0671).

[4]
First-principles (PBE) data for a relaxed Y3Ir2Rh crystal, as listed in the Alexandria database.

The theoretical density comes out at 10.26 g cm⁻³. The relative energy among the computed polymorphs comes out at 0.008 eV/atom. The energy relative to the elements comes out at -0.80 eV/atom. The crystal system is tetragonal. Its total energy is -0.6035 Ry/atom.

It has space group P4/mmm (No. 123), with a = 3.442 Å, b = 3.442 Å, c = 10.301 Å, α = 90.00°, β = 90.00° and γ = 90.00°. The asymmetric unit holds Y at (0.000, 0.000, 0.000), Y at (0.000, 0.000, 0.332), Ir at (0.500, 0.500, 0.168) and Rh at (0.500, 0.500, 0.500).

[5]
First-principles (PBE) data for a relaxed YIrRh3 crystal, as listed in the Alexandria database.

The theoretical density comes out at 9.11 g cm⁻³. The relative energy among the computed polymorphs comes out at 0.000 eV/atom. The energy relative to the elements comes out at 0.54 eV/atom. The crystal system is cubic. Its total energy is -0.5100 Ry/atom.

It has space group Pm-3m (No. 221), with a = 4.754 Å, b = 4.754 Å, c = 4.754 Å, α = 90.00°, β = 90.00° and γ = 90.00°. The asymmetric unit holds Y at (0.000, 0.000, 0.000), Ir at (0.500, 0.500, 0.500) and Rh at (0.000, 0.500, 0.500).

[6]
First-principles (PBE) data for a relaxed Y3Ir8Rh crystal, as listed in the Alexandria database.

The theoretical density comes out at 14.83 g cm⁻³. The energy relative to the elements comes out at -0.51 eV/atom. The crystal system is trigonal. Its total energy is -0.6358 Ry/atom.

It has space group R3m (No. 160, hexagonal axes), with a = 5.3250 Å, b = 5.3250 Å, c = 26.0908 Å, α = 90.00°, β = 90.00° and γ = 120.00°. The asymmetric unit holds Y at (0.0000, 0.0000, 0.0000), Y at (0.0000, 0.0000, 0.1304), Y at (0.0000, 0.0000, 0.6135), Ir at (0.0000, 0.0000, 0.3127), Ir at (0.0000, 0.0000, 0.8143), Ir at (0.1674, 0.3349, 0.8952), Ir at (0.1679, 0.3358, 0.3970) and Rh at (0.0000, 0.0000, 0.4820).

[7]
First-principles (PBE) data for a relaxed Y8IrRh2 crystal, as listed in the Alexandria database.

The theoretical density comes out at 6.15 g cm⁻³. The energy relative to the elements comes out at -0.44 eV/atom. The crystal system is monoclinic. Its total energy is -0.5352 Ry/atom.

It has space group Cm (No. 8), with a = 8.303 Å, b = 12.622 Å, c = 6.068 Å, α = 90.00°, β = 109.63° and γ = 90.00°. The asymmetric unit holds Y at (0.000, 0.000, 0.000), Y at (0.069, 0.370, 0.772), Y at (0.151, 0.129, 0.574), Y at (0.212, 0.500, 0.359), Y at (0.355, 0.210, 0.181), Ir at (0.353, 0.000, 0.354) and Rh at (0.362, 0.312, 0.680).

[8]
First-principles (PBE) data for a relaxed YIr3Rh crystal, as listed in the Alexandria database.

The theoretical density comes out at 10.93 g cm⁻³. The energy relative to the elements comes out at 2.31 eV/atom. The crystal system is cubic. Its total energy is -0.4241 Ry/atom.

It has space group Pm-3m (No. 221), with a = 4.887 Å, b = 4.887 Å, c = 4.887 Å, α = 90.00°, β = 90.00° and γ = 90.00°. The asymmetric unit holds Y at (0.000, 0.000, 0.000), Ir at (0.000, 0.000, 0.500) and Rh at (0.500, 0.500, 0.500).